(1)
Computed, not measured: a crystal of U2CuAs2H16O20 relaxed with PBEsol at the meta-GGA SCAN level of DFT.

Properties
* final energy: -12.32 eV/atom
* crystal system: tetragonal
* calculated volume: 429.0 Å³/f.u.

Cell lengths 7.0453, 7.0453, 17.2875 Å; angles 90.00, 90.00, 90.00 degrees
Element x y z (fractional)
U1 0.2500 0.2500 0.0563
U2 0.2500 0.2500 0.5571
U3 0.7500 0.7500 0.4429
U4 0.7500 0.7500 0.9437
Cu1 0.2500 0.2500 0.8091
Cu2 0.7500 0.7500 0.1909
As1 0.2500 0.7500 0.0000
As2 0.2500 0.7500 0.5000
As3 0.7500 0.2500 0.0000
As4 0.7500 0.2500 0.5000
H1 0.0449 0.2186 0.3033
H2 0.0596 0.6223 0.6452
H3 0.0696 0.8774 0.2359
H4 0.0751 0.8455 0.1438
H5 0.1223 0.9404 0.3548
H6 0.1226 0.5696 0.7641
H7 0.1545 0.5751 0.8562
H8 0.2186 0.4551 0.3033
H9 0.2814 0.0449 0.3033
H10 0.3455 0.9249 0.8562
H11 0.3774 0.9304 0.7641
H12 0.3777 0.5596 0.3548
H13 0.4249 0.6545 0.1438
H14 0.4304 0.6226 0.2359
H15 0.4404 0.8777 0.6452
H16 0.4551 0.2814 0.3033
H17 0.5449 0.7186 0.6967
H18 0.5596 0.1223 0.3548
H19 0.5696 0.3774 0.7641
H20 0.5751 0.3455 0.8562
H21 0.6223 0.4404 0.6452
H22 0.6226 0.0696 0.2359
H23 0.6545 0.0751 0.1438
H24 0.7186 0.9551 0.6967
H25 0.7814 0.5449 0.6967
H26 0.8455 0.4249 0.1438
H27 0.8774 0.4304 0.2359
H28 0.8777 0.0596 0.6452
H29 0.9249 0.1545 0.8562
H30 0.9304 0.1226 0.7641
H31 0.9404 0.3777 0.3548
H32 0.9551 0.7814 0.6967
O1 0.0073 0.3580 0.3048
O2 0.0251 0.7893 0.1926
O3 0.0670 0.6847 0.9407
O4 0.0668 0.8101 0.4400
O5 0.1420 0.0073 0.3048
O6 0.1847 0.9330 0.0593
O7 0.1899 0.5668 0.5600
O8 0.2107 0.5251 0.8074
O9 0.2500 0.2500 0.1604
O10 0.2500 0.2500 0.4526
O11 0.2500 0.2500 0.6621
O12 0.2500 0.2500 0.9509
O13 0.2893 0.9749 0.8074
O14 0.3101 0.9332 0.5600
O15 0.3153 0.5670 0.0593
O16 0.3580 0.4927 0.3048
O17 0.4332 0.6899 0.4400
O18 0.4330 0.8153 0.9407
O19 0.4749 0.7107 0.1926
O20 0.4927 0.1420 0.3048
O21 0.5073 0.8580 0.6952
O22 0.5251 0.2893 0.8074
O23 0.5670 0.1847 0.0593
O24 0.5668 0.3101 0.5600
O25 0.6420 0.5073 0.6952
O26 0.6847 0.4330 0.9407
O27 0.6899 0.0668 0.4400
O28 0.7107 0.0251 0.1926
O29 0.7500 0.7500 0.0491
O30 0.7500 0.7500 0.3379
O31 0.7500 0.7500 0.5474
O32 0.7500 0.7500 0.8396
O33 0.7893 0.4749 0.1926
O34 0.8101 0.4332 0.4400
O35 0.8153 0.0670 0.9407
O36 0.8580 0.9927 0.6952
O37 0.9332 0.1899 0.5600
O38 0.9330 0.3153 0.0593
O39 0.9749 0.2107 0.8074
O40 0.9927 0.6420 0.6952



(2)
Computed, not measured: a crystal of Sr2IrAu relaxed with PBEsol at the meta-GGA SCAN level of DFT.

Properties
* final energy: -46.62 eV/atom
* formation energy from the elements: -0.42 eV per atom
* crystal system: trigonal
* calculated volume: 130.2 Å³/f.u.

Cell lengths 4.4415, 4.4415, 22.8697 Å; angles 90.00, 90.00, 120.00 degrees
Element x y z (fractional)
Sr1 0.0000 0.0000 0.0000
Sr2 0.0000 0.0000 0.1693
Sr3 0.3333 0.6667 0.6667
Sr4 0.3333 0.6667 0.8360
Sr5 0.6667 0.3333 0.3333
Sr6 0.6667 0.3333 0.5027
Ir1 0.0000 0.0000 0.4178
Ir2 0.3333 0.6667 0.0845
Ir3 0.6667 0.3333 0.7511
Au1 0.0000 0.0000 0.7514
Au2 0.3333 0.6667 0.4181
Au3 0.6667 0.3333 0.0848



(3)
Computed, not measured: a crystal of Ho2Sn2O7 relaxed with PBEsol at the meta-GGA SCAN level of DFT.

Properties
* energy relative to the elements, uncorrected: -2836 meV per atom
* final energy: -22.24 eV/atom
* crystal system: cubic
* calculated volume: 138.4 Å³/f.u.

Cell lengths 7.3146, 7.3146, 7.3146 Å; angles 60.00, 60.00, 60.00 degrees
Element x y z (fractional)
Ho1 0.0000 0.0000 0.0000
Ho2 0.0000 0.0000 0.5000
Ho3 0.0000 0.5000 0.0000
Ho4 0.5000 0.0000 0.0000
Sn1 0.0000 0.5000 0.5000
Sn2 0.5000 0.0000 0.5000
Sn3 0.5000 0.5000 0.0000
Sn4 0.5000 0.5000 0.5000
O1 0.1250 0.1250 0.1250
O2 0.1592 0.1592 0.5908
O3 0.1592 0.5908 0.1592
O4 0.1592 0.5908 0.5908
O5 0.4092 0.4092 0.8408
O6 0.4092 0.8408 0.4092
O7 0.4092 0.8408 0.8408
O8 0.5908 0.1592 0.1592
O9 0.5908 0.1592 0.5908
O10 0.5908 0.5908 0.1592
O11 0.8408 0.4092 0.4092
O12 0.8408 0.4092 0.8408
O13 0.8408 0.8408 0.4092
O14 0.8750 0.8750 0.8750



(4)
Computed, not measured: a crystal of Ba2CrSi relaxed with PBEsol at the meta-GGA SCAN level of DFT.

Properties
* energy relative to the elements, uncorrected: 152 meV per atom
* ΔE to the lowest computed polymorph: 0 meV per atom
* final energy: -26.72 eV/atom
* crystal system: tetragonal
* calculated volume: 127.1 Å³/f.u.

Cell lengths 5.6518, 5.6518, 7.9557 Å; angles 90.00, 90.00, 90.00 degrees
Element x y z (fractional)
Ba1 0.0000 0.5000 0.2500
Ba2 0.0000 0.5000 0.7500
Ba3 0.5000 0.0000 0.2500
Ba4 0.5000 0.0000 0.7500
Cr1 0.0000 0.0000 0.0000
Cr2 0.5000 0.5000 0.5000
Si1 0.0000 0.0000 0.5000
Si2 0.5000 0.5000 0.0000



(5)
Computed, not measured: a crystal of Sr3SiRu relaxed with PBEsol at the meta-GGA SCAN level of DFT.

Properties
* energy relative to the elements, uncorrected: 495 meV per atom
* final energy: -21.84 eV/atom
* crystal system: cubic
* calculated volume: 156.8 Å³/f.u.

Cell lengths 5.3920, 5.3920, 5.3920 Å; angles 90.00, 90.00, 90.00 degrees
Element x y z (fractional)
Sr1 0.0000 0.0000 0.5000
Sr2 0.0000 0.5000 0.0000
Sr3 0.5000 0.0000 0.0000
Si1 0.5000 0.5000 0.5000
Ru1 0.0000 0.0000 0.0000



(6)
Computed, not measured: a crystal of MnTlTe relaxed with PBEsol at the meta-GGA SCAN level of DFT.

Properties
* energy relative to the elements, uncorrected: -44 meV per atom
* ΔE to the lowest computed polymorph: 0 meV per atom
* final energy: -42.67 eV/atom
* crystal system: cubic
* calculated volume: 75.9 Å³/f.u.

Cell lengths 6.7219, 6.7219, 6.7219 Å; angles 90.00, 90.00, 90.00 degrees
Element x y z (fractional)
Mn1 0.0000 0.0000 0.0000
Mn2 0.0000 0.5000 0.5000
Mn3 0.5000 0.0000 0.5000
Mn4 0.5000 0.5000 0.0000
Tl1 0.2500 0.2500 0.2500
Tl2 0.2500 0.7500 0.7500
Tl3 0.7500 0.2500 0.7500
Tl4 0.7500 0.7500 0.2500
Te1 0.2500 0.2500 0.7500
Te2 0.2500 0.7500 0.2500
Te3 0.7500 0.2500 0.2500
Te4 0.7500 0.7500 0.7500



(7)
Computed, not measured: a crystal of Si4AsW relaxed with PBEsol at the meta-GGA SCAN level of DFT.

Properties
* energy relative to the elements, uncorrected: 784 meV per atom
* final energy: -20.87 eV/atom
* crystal system: cubic
* calculated volume: 85.4 Å³/f.u.

Cell lengths 4.9428, 4.9428, 4.9428 Å; angles 60.00, 60.00, 60.00 degrees
Element x y z (fractional)
Si1 0.3758 0.3758 0.3758
Si2 0.3758 0.3758 0.8727
Si3 0.3758 0.8727 0.3758
Si4 0.8727 0.3758 0.3758
As1 0.7500 0.7500 0.7500
W1 0.0000 0.0000 0.0000



(8)
Computed, not measured: a crystal of KInW relaxed with PBEsol at the meta-GGA SCAN level of DFT.

Properties
* ΔE to the lowest computed polymorph: 0 meV per atom
* final energy: -36.11 eV/atom
* formation energy from the elements: 1.02 eV per atom
* crystal system: orthorhombic
* calculated volume: 80.6 Å³/f.u.

Cell lengths 2.7796, 4.6680, 12.4177 Å; angles 90.00, 90.00, 90.00 degrees
Element x y z (fractional)
K1 0.0000 0.0000 0.0000
K2 0.5000 0.5000 0.5000
In1 0.0000 0.0000 0.2781
In2 0.5000 0.5000 0.7781
W1 0.0000 0.0000 0.7210
W2 0.5000 0.5000 0.2210



no.,ρ (kg/m3)
1,3969
2,7197
3,8152
4,4636
5,4152
6,8462
7,7217
8,6962